Entry from Alexandria: a relaxed structure of Pa3CSe5 (PBE).

For the formation energy (no corrections), the calculation gives -1.00 eV/atom. The calculated density comes out at 7.10 g cm⁻³. The magnetic moment comes out at 4.53 Bohr magnetons per cell.

The space group is C2/m (No. 12) and the conventional cell measures 13.370, 9.328 and 8.769 Å, with angles of 90.00, 109.86 and 90.00 degrees. Symmetry generates all atoms from Pa at (0.000, 0.000, 0.000), Pa at (0.000, 0.000, 0.500), Pa at (0.162, 0.500, 0.151), Pa at (0.239, 0.000, 0.396), C at (0.064, 0.000, 0.285), Se at (0.000, 0.302, 0.000), Se at (0.063, 0.500, 0.373), Se at (0.184, 0.190, 0.636) and Se at (0.223, 0.000, 0.064).